1.
DFT (PBE) results for crystalline K2AlW at its relaxed geometry.

Calculated values
The total energy is -3.311 eV/atom. The energy of formation from the pure elements comes out at 1.412 eV per atom. The value obtained for the total magnetization is 0.89 μB per atom.

CIF file:
```
data_K2AlW
_chemical_formula_sum 'K8 Al4 W4'
_cell_length_a 12.631
_cell_length_b 12.631
_cell_length_c 5.082
_cell_angle_alpha 90.00
_cell_angle_beta 90.00
_cell_angle_gamma 90.00
_symmetry_space_group_name_H-M 'I -4 2 d'
_symmetry_Int_Tables_number 122
_symmetry_space_group_name_Hall 'I -4 2bw'
loop_
_atom_site_label
_atom_site_type_symbol
_atom_site_fract_x
_atom_site_fract_y
_atom_site_fract_z
_atom_site_occupancy
K1 K 0.081 0.250 0.125 1
Al1 Al 0.000 0.000 0.000 1
W1 W 0.000 0.000 0.500 1
```



2.
DFT (PBE) results for crystalline CoSnSe2 at its relaxed geometry.

Calculated values
The total energy is -4.762 eV/atom. As for the formation energy (no corrections): -0.242 eV/atom. The value obtained for the total magnetization is 0.00 μB per atom.

CIF file:
```
data_CoSnSe2
_chemical_formula_sum 'Co3 Sn3 Se6'
_cell_length_a 3.4882
_cell_length_b 3.4882
_cell_length_c 25.2900
_cell_angle_alpha 90.00
_cell_angle_beta 90.00
_cell_angle_gamma 120.00
_symmetry_space_group_name_H-M 'R -3 m'
_symmetry_Int_Tables_number 166
_symmetry_space_group_name_Hall '-R 3 2"'
loop_
_atom_site_label
_atom_site_type_symbol
_atom_site_fract_x
_atom_site_fract_y
_atom_site_fract_z
_atom_site_occupancy
Co1 Co 0.0000 0.0000 0.0000 1
Sn1 Sn 0.0000 0.0000 0.5000 1
Se1 Se 0.0000 0.0000 0.3826 1
```



3.
DFT (PBE) results for crystalline NiIr2Rh at its relaxed geometry.

Calculated values
The total energy is -7.412 eV/atom. The energy of formation from the pure elements comes out at 0.302 eV per atom. The value obtained for the total magnetization is 0.00 μB per atom.

CIF file:
```
data_NiIr2Rh
_chemical_formula_sum 'Ni3 Ir6 Rh3'
_cell_length_a 4.1360
_cell_length_b 4.1360
_cell_length_c 11.9438
_cell_angle_alpha 90.00
_cell_angle_beta 90.00
_cell_angle_gamma 120.00
_symmetry_space_group_name_H-M 'R 3 m'
_symmetry_Int_Tables_number 160
_symmetry_space_group_name_Hall 'R 3 -2"'
loop_
_atom_site_label
_atom_site_type_symbol
_atom_site_fract_x
_atom_site_fract_y
_atom_site_fract_z
_atom_site_occupancy
Ni1 Ni 0.0000 0.0000 0.0000 1
Ir1 Ir 0.0000 0.0000 0.3507 1
Ir2 Ir 0.0000 0.0000 0.5677 1
Rh1 Rh 0.0000 0.0000 0.7868 1
```



4.
DFT (PBE) results for crystalline PmEuNiPd at its relaxed geometry.

Calculated values
The total energy is -6.921 eV/atom. The energy of formation from the pure elements comes out at -0.421 eV per atom. The value obtained for the total magnetization is 1.77 μB per atom.

CIF file:
```
data_PmEuNiPd
_chemical_formula_sum 'Pm4 Eu4 Ni4 Pd4'
_cell_length_a 7.102
_cell_length_b 7.102
_cell_length_c 7.102
_cell_angle_alpha 90.00
_cell_angle_beta 90.00
_cell_angle_gamma 90.00
_symmetry_space_group_name_H-M 'F -4 3 m'
_symmetry_Int_Tables_number 216
_symmetry_space_group_name_Hall 'F -4 2 3'
loop_
_atom_site_label
_atom_site_type_symbol
_atom_site_fract_x
_atom_site_fract_y
_atom_site_fract_z
_atom_site_occupancy
Pm1 Pm 0.000 0.000 0.000 1
Eu1 Eu 0.000 0.000 0.500 1
Ni1 Ni 0.250 0.250 0.750 1
Pd1 Pd 0.250 0.250 0.250 1
```



5.
DFT (PBE) results for crystalline SiRhS3 at its relaxed geometry.

Calculated values
The total energy is -4.408 eV/atom. As for the formation energy (no corrections): 0.623 eV/atom. The value obtained for the total magnetization is 0.00 μB per atom.

CIF file:
```
data_SiRhS3
_chemical_formula_sum 'Si1 Rh1 S3'
_cell_length_a 4.623
_cell_length_b 4.623
_cell_length_c 4.623
_cell_angle_alpha 90.00
_cell_angle_beta 90.00
_cell_angle_gamma 90.00
_symmetry_space_group_name_H-M 'P m -3 m'
_symmetry_Int_Tables_number 221
_symmetry_space_group_name_Hall '-P 4 2 3'
loop_
_atom_site_label
_atom_site_type_symbol
_atom_site_fract_x
_atom_site_fract_y
_atom_site_fract_z
_atom_site_occupancy
Si1 Si 0.000 0.000 0.000 1
Rh1 Rh 0.500 0.500 0.500 1
S1 S 0.000 0.500 0.500 1
```



6.
DFT (PBE) results for crystalline Na2LiCa8 at its relaxed geometry.

Calculated values
The total energy is -1.817 eV/atom. The energy of formation from the pure elements comes out at 0.052 eV per atom. The value obtained for the total magnetization is 0.00 μB per atom.

CIF file:
```
data_Na2LiCa8
_chemical_formula_sum 'Na4 Li2 Ca16'
_cell_length_a 17.503
_cell_length_b 6.097
_cell_length_c 9.377
_cell_angle_alpha 90.00
_cell_angle_beta 120.64
_cell_angle_gamma 90.00
_symmetry_space_group_name_H-M 'C 1 2/m 1'
_symmetry_Int_Tables_number 12
_symmetry_space_group_name_Hall '-C 2y'
loop_
_atom_site_label
_atom_site_type_symbol
_atom_site_fract_x
_atom_site_fract_y
_atom_site_fract_z
_atom_site_occupancy
Na1 Na 0.225 0.000 0.128 1
Li1 Li 0.000 0.500 0.500 1
Ca1 Ca 0.054 0.000 0.224 1
Ca2 Ca 0.092 0.500 0.946 1
Ca3 Ca 0.131 0.000 0.675 1
Ca4 Ca 0.176 0.500 0.429 1
```



7.
DFT (PBE) results for crystalline AcCeSe3 at its relaxed geometry.

Calculated values
The total energy is -6.035 eV/atom. As for the formation energy (no corrections): -1.936 eV/atom. The value obtained for the total magnetization is 0.19 μB per atom.

CIF file:
```
data_AcCeSe3
_chemical_formula_sum 'Ac4 Ce4 Se12'
_cell_length_a 8.014
_cell_length_b 4.377
_cell_length_c 16.635
_cell_angle_alpha 90.00
_cell_angle_beta 90.00
_cell_angle_gamma 90.00
_symmetry_space_group_name_H-M 'P n m a'
_symmetry_Int_Tables_number 62
_symmetry_space_group_name_Hall '-P 2ac 2n'
loop_
_atom_site_label
_atom_site_type_symbol
_atom_site_fract_x
_atom_site_fract_y
_atom_site_fract_z
_atom_site_occupancy
Ac1 Ac 0.138 0.250 0.201 1
Ce1 Ce 0.232 0.750 0.457 1
Se1 Se 0.011 0.250 0.395 1
Se2 Se 0.128 0.750 0.061 1
Se3 Se 0.152 0.250 0.785 1
```



8.
DFT (PBE) results for crystalline La4NdPa3N8 at its relaxed geometry.

Calculated values
The total energy is -9.010 eV/atom. As for the formation energy (no corrections): -1.537 eV/atom. The value obtained for the total magnetization is 0.00 μB per atom.

CIF file:
```
data_La4NdPa3N8
_chemical_formula_sum 'La12 Nd3 Pa9 N24'
_cell_length_a 7.2232
_cell_length_b 7.2232
_cell_length_c 17.9909
_cell_angle_alpha 90.00
_cell_angle_beta 90.00
_cell_angle_gamma 120.00
_symmetry_space_group_name_H-M 'R -3 m'
_symmetry_Int_Tables_number 166
_symmetry_space_group_name_Hall '-R 3 2"'
loop_
_atom_site_label
_atom_site_type_symbol
_atom_site_fract_x
_atom_site_fract_y
_atom_site_fract_z
_atom_site_occupancy
La1 La 0.0000 0.0000 0.0000 1
La2 La 0.0000 0.5000 0.0000 1
Nd1 Nd 0.0000 0.0000 0.5000 1
Pa1 Pa 0.0000 0.5000 0.5000 1
N1 N 0.0000 0.0000 0.2341 1
N2 N 0.0226 0.5113 0.7639 1
```



9.
DFT (PBE) results for crystalline La2Mn2Ge2N at its relaxed geometry.

Calculated values
The total energy is -7.272 eV/atom. As for the formation energy (no corrections): -0.736 eV/atom. The value obtained for the total magnetization is 0.00 μB per atom.

CIF file:
```
data_La2Mn2Ge2N
_chemical_formula_sum 'La4 Mn4 Ge4 N2'
_cell_length_a 11.217
_cell_length_b 4.117
_cell_length_c 7.203
_cell_angle_alpha 90.00
_cell_angle_beta 129.02
_cell_angle_gamma 90.00
_symmetry_space_group_name_H-M 'C 1 2/m 1'
_symmetry_Int_Tables_number 12
_symmetry_space_group_name_Hall '-C 2y'
loop_
_atom_site_label
_atom_site_type_symbol
_atom_site_fract_x
_atom_site_fract_y
_atom_site_fract_z
_atom_site_occupancy
La1 La 0.055 0.000 0.288 1
Mn1 Mn 0.187 0.500 0.082 1
Ge1 Ge 0.177 0.500 0.737 1
N1 N 0.000 0.500 0.000 1
```



10.
DFT (PBE) results for crystalline YSc5Hg3 at its relaxed geometry.

Calculated values
The total energy is -4.655 eV/atom. The energy of formation from the pure elements comes out at -0.319 eV per atom. The value obtained for the total magnetization is 0.00 μB per atom.

CIF file:
```
data_YSc5Hg3
_chemical_formula_sum 'Y2 Sc10 Hg6'
_cell_length_a 8.6098
_cell_length_b 8.6098
_cell_length_c 6.5423
_cell_angle_alpha 90.00
_cell_angle_beta 90.00
_cell_angle_gamma 120.00
_symmetry_space_group_name_H-M 'P 63/m c m'
_symmetry_Int_Tables_number 193
_symmetry_space_group_name_Hall '-P 6c 2'
loop_
_atom_site_label
_atom_site_type_symbol
_atom_site_fract_x
_atom_site_fract_y
_atom_site_fract_z
_atom_site_occupancy
Y1 Y 0.0000 0.0000 0.0000 1
Sc1 Sc 0.0000 0.3406 0.2500 1
Sc2 Sc 0.3333 0.6667 0.0000 1
Hg1 Hg 0.0000 0.3320 0.7500 1
```



Question: Which formula does entry 6 have?
Answer: Na2LiCa8



Question: Which value of total magnetization does entry 5 give?
Answer: 0.00 μB per atom



Question: Which value of total magnetization does entry 5 give?
Answer: 0.00 μB per atom